[1]
Here is a relaxed structure of Mn3GeRh4 from the Alexandria database. Energies are from GGA-PBE.

Cell lengths 4.2951, 4.2951, 12.1785 Å; angles 90.00, 90.00, 90.00 degrees
With the nearest neighbours (Å) after each atom.
Atoms (fractional coordinates):
Mn (0.0000, 0.0000, 0.0000)  8 Rh 2.62
Mn (0.0000, 0.0000, 0.2492)  8 Rh 2.64-2.65
Mn (0.0000, 0.0000, 0.7508)  8 Rh 2.64-2.65
Mn (0.5000, 0.5000, 0.2508)  8 Rh 2.64-2.65
Mn (0.5000, 0.5000, 0.5000)  8 Rh 2.62
Mn (0.5000, 0.5000, 0.7492)  8 Rh 2.64-2.65
Ge (0.0000, 0.0000, 0.5000)  8 Rh 2.62
Ge (0.5000, 0.5000, 0.0000)  8 Rh 2.62
Rh (0.0000, 0.5000, 0.1230)  2 Ge 2.62, 6 Mn 2.62-2.65
Rh (0.0000, 0.5000, 0.3770)  2 Ge 2.62, 6 Mn 2.62-2.65
Rh (0.0000, 0.5000, 0.6230)  2 Ge 2.62, 6 Mn 2.62-2.65
Rh (0.0000, 0.5000, 0.8770)  2 Ge 2.62, 6 Mn 2.62-2.65
Rh (0.5000, 0.0000, 0.1230)  2 Ge 2.62, 6 Mn 2.62-2.65
Rh (0.5000, 0.0000, 0.3770)  2 Ge 2.62, 6 Mn 2.62-2.65
Rh (0.5000, 0.0000, 0.6230)  2 Ge 2.62, 6 Mn 2.62-2.65
Rh (0.5000, 0.0000, 0.8770)  2 Ge 2.62, 6 Mn 2.62-2.65

## Properties
mass density: 9.59 g/cm3
E_tot: -8.028 eV/atom
total moment: 26.2 μB/cell

=====

[2]
Here is a relaxed structure of Th2UCrN6 from the Alexandria database. Energies are from GGA-PBE.

Cell lengths 5.6603, 5.6603, 5.8293 Å; angles 119.40, 119.40, 60.03 degrees
With the nearest neighbours (Å) after each atom.
Atoms (fractional coordinates):
Th (0.2455, 0.2455, 0.2285)  5 N 2.43-2.51
Th (0.7545, 0.7545, 0.7715)  5 N 2.43-2.51
U (0.0000, 0.0000, 0.5000)  6 N 2.15-2.16
Cr (0.5000, 0.5000, 0.0000)  6 N 2.01-2.06
N (0.1950, 0.6866, 0.1787)  1 Cr 2.01, 1 U 2.16
N (0.2578, 0.2578, 0.6564)  1 Cr 2.06, 1 U 2.15
N (0.3134, 0.8050, 0.8213)  1 Cr 2.01, 1 U 2.16
N (0.6866, 0.1950, 0.1787)  1 Cr 2.01, 1 U 2.16
N (0.7422, 0.7422, 0.3436)  1 Cr 2.06, 1 U 2.15
N (0.8050, 0.3134, 0.8213)  1 Cr 2.01, 1 U 2.16

## Properties
mass density: 10.44 g/cm3
total moment: 2.0 μB/cell
formation energy from raw total energies: -1.204 eV per atom

=====

[3]
Here is a relaxed structure of Li4Pa3RhS8 from the Alexandria database. Energies are from GGA-PBE.

Cell lengths 7.6977, 7.6977, 7.7306 Å; angles 119.65, 119.65, 56.08 degrees
With the nearest neighbours (Å) after each atom.
Atoms (fractional coordinates):
Li (0.0000, 0.0000, 0.0000)  2 S 2.43
Li (0.0000, 0.5000, 0.0000)  4 S 2.53-2.63
Li (0.5000, 0.0000, 0.0000)  4 S 2.53-2.63
Li (0.5000, 0.5000, 0.0000)  6 S 2.61-2.88
Pa (0.0000, 0.0000, 0.5000)  6 S 2.70-2.76
Pa (0.0000, 0.5000, 0.5000)  6 S 2.72-2.77
Pa (0.5000, 0.0000, 0.5000)  6 S 2.72-2.77
Rh (0.5000, 0.5000, 0.5000)  4 S 2.43
S (0.2161, 0.2161, 0.2091)  3 Li 2.43-2.63, 2 Pa 2.72
S (0.2447, 0.2447, 0.7653)  2 Li 2.53, 3 Pa 2.76-2.77
S (0.2717, 0.7198, 0.7306)  1 Rh 2.43, 1 Li 2.61, 1 Pa 2.70
S (0.2802, 0.7283, 0.2694)  1 Rh 2.43, 1 Li 2.61, 1 Pa 2.70
S (0.7198, 0.2717, 0.7306)  1 Rh 2.43, 1 Li 2.61, 1 Pa 2.70
S (0.7283, 0.2802, 0.2694)  1 Rh 2.43, 1 Li 2.61, 1 Pa 2.70
S (0.7553, 0.7553, 0.2347)  2 Li 2.53, 3 Pa 2.76-2.77
S (0.7839, 0.7839, 0.7909)  3 Li 2.43-2.63, 2 Pa 2.72

## Properties
mass density: 5.70 g/cm3
total moment: 4.0 μB/cell
formation energy from raw total energies: -1.308 eV per atom